A plane-wave DFT calculation with PBE was carried out for a geometry-optimized Sm2SnS6 structure.

Unit cell a=6.321 b=6.321 c=12.401 alpha=90.00 beta=90.00 gamma=90.00
Space group P4_2/mnm (No. 136)
Asymmetric unit:
Sm 0.000 0.000 0.167 x4
Sn 0.000 0.000 0.500 x2
S 0.190 0.190 0.347 x8
S 0.210 0.210 0.000 x4

Computed properties:
M_tot	0.92	μB/f.u.
crystal system	tetragonal
energy relative to the elements, uncorrected	-0.914	eV/atom